Entry 1:
Density functional theory data (PBE) for a geometry-optimized Ni2PbAu2 structure.

As for the spin magnetization: 0.00 μB per atom. For the calculated formation energy, the calculation gives 109 meV per atom. The space-group type is P4/mbm, No. 127. The volume comes out at 170.8 Å³/cell. As for the energy above the lowest structure with this stoichiometry: 0 meV/atom.

```
data_Ni2PbAu2
_chemical_formula_sum 'Ni4 Pb2 Au4'
_cell_length_a 6.789
_cell_length_b 6.789
_cell_length_c 3.706
_cell_angle_alpha 90.00
_cell_angle_beta 90.00
_cell_angle_gamma 90.00
_space_group_name_H-M_alt 'P 1'
_space_group_IT_number 1
loop_
_space_group_symop_operation_xyz
'x,y,z'
loop_
_atom_site_label
_atom_site_fract_x
_atom_site_fract_y
_atom_site_fract_z
Ni1 0.130 0.370 0.000
Ni2 0.370 0.870 0.000
Ni3 0.630 0.130 0.000
Ni4 0.870 0.630 0.000
Pb1 0.000 0.000 0.000
Pb2 0.500 0.500 0.000
Au1 0.158 0.658 0.500
Au2 0.342 0.158 0.500
Au3 0.658 0.842 0.500
Au4 0.842 0.342 0.500
```


Entry 2:
Density functional theory data (PBE) for a geometry-optimized Na3LiHg8 structure.

As for the spin magnetization: 0.00 μB per atom. For the calculated formation energy, the calculation gives -229 meV per atom. The space-group type is Cm, No. 8. The volume comes out at 292.9 Å³/cell.

```
data_Na3LiHg8
_chemical_formula_sum 'Na3 Li1 Hg8'
_cell_length_a 7.728
_cell_length_b 7.728
_cell_length_c 5.637
_cell_angle_alpha 110.47
_cell_angle_beta 110.47
_cell_angle_gamma 89.65
_space_group_name_H-M_alt 'P 1'
_space_group_IT_number 1
loop_
_space_group_symop_operation_xyz
'x,y,z'
loop_
_atom_site_label
_atom_site_fract_x
_atom_site_fract_y
_atom_site_fract_z
Na1 0.000 0.000 0.000
Na2 0.496 0.996 0.000
Na3 0.996 0.496 0.000
Li1 0.499 0.499 0.999
Hg1 0.173 0.173 0.661
Hg2 0.173 0.655 0.673
Hg3 0.337 0.819 0.326
Hg4 0.338 0.338 0.319
Hg5 0.655 0.173 0.673
Hg6 0.663 0.663 0.681
Hg7 0.819 0.337 0.326
Hg8 0.827 0.827 0.339
```